Entry 1:
An optimized crystal structure of CaTl3Se, computed with PBE.

POSCAR file:
```
CaTl3Se
1.0
5.793 0.000 0.000
0.000 5.793 0.000
0.000 0.000 5.793
Ca Tl Se
1 3 1
direct
0.000 0.000 0.000 Ca
0.000 0.500 0.500 Tl
0.500 0.000 0.500 Tl
0.500 0.500 0.000 Tl
0.500 0.500 0.500 Se
```

Summary:
total magnetization: 0.00 μB/cell
uncorrected energy: -2.43 eV/atom
ΔE_f (raw): 0.412 eV per formula unit
ΔE to the lowest computed polymorph: 0.00 kJ per mole of atoms



Entry 2:
An optimized crystal structure of Tl4TePt, computed with PBE.

POSCAR file:
```
Tl4TePt
1.0
0.000 4.454 4.454
4.454 0.000 4.454
4.454 4.454 0.000
Tl Te Pt
4 1 1
direct
0.125 0.125 0.125 Tl
0.125 0.125 0.626 Tl
0.125 0.626 0.125 Tl
0.626 0.125 0.125 Tl
0.500 0.500 0.500 Te
0.750 0.750 0.750 Pt
```

Summary:
total magnetization: 0.00 μB/cell
uncorrected energy: -2.70 eV/atom
ΔE_f (raw): 2.419 eV per formula unit



Entry 3:
An optimized crystal structure of La2Tb12Tm5, computed with PBE.

POSCAR file:
```
La2Tb12Tm5
1.0
6.168 0.000 0.000
0.011 9.414 0.000
1.047 2.029 10.458
La Tb Tm
2 12 5
direct
0.236 0.446 0.081 La
0.764 0.554 0.919 La
0.027 0.607 0.344 Tb
0.130 0.027 0.709 Tb
0.185 0.236 0.398 Tb
0.290 0.660 0.759 Tb
0.395 0.076 0.133 Tb
0.445 0.286 0.813 Tb
0.555 0.714 0.187 Tb
0.605 0.924 0.867 Tb
0.710 0.340 0.241 Tb
0.815 0.764 0.602 Tb
0.870 0.973 0.291 Tb
0.973 0.393 0.656 Tb
0.081 0.820 0.026 Tm
0.344 0.869 0.447 Tm
0.500 0.500 0.500 Tm
0.656 0.131 0.553 Tm
0.919 0.180 0.974 Tm
```

Summary:
total magnetization: 0.00 μB/cell
uncorrected energy: -4.60 eV/atom
ΔE_f: 20 meV/atom
ΔE to the lowest computed polymorph: 0.00 kJ per mole of atoms



Entry 4:
An optimized crystal structure of Li3Mg2Ag5, computed with PBE.

POSCAR file:
```
Li3Mg2Ag5
1.0
-5.223 6.913 2.703
5.223 -6.913 2.703
5.223 6.913 -2.703
Li Mg Ag
6 4 10
direct
0.144 0.619 0.763 Li
0.250 0.250 0.000 Li
0.356 0.119 0.475 Li
0.644 0.881 0.525 Li
0.750 0.750 0.000 Li
0.856 0.381 0.237 Li
0.191 0.904 0.095 Mg
0.309 0.404 0.714 Mg
0.691 0.596 0.286 Mg
0.809 0.096 0.905 Mg
0.176 0.188 0.364 Ag
0.250 0.012 0.762 Ag
0.250 0.488 0.238 Ag
0.250 0.750 0.500 Ag
0.324 0.688 0.012 Ag
0.676 0.312 0.988 Ag
0.750 0.250 0.500 Ag
0.750 0.512 0.762 Ag
0.750 0.988 0.238 Ag
0.824 0.812 0.636 Ag
```

Summary:
total magnetization: 0.00 μB/cell
uncorrected energy: -2.37 eV/atom
ΔE_f: -47 meV/atom



Entry 5:
An optimized crystal structure of ZrTaSi2Ru2, computed with PBE.

POSCAR file:
```
ZrTaSi2Ru2
1.0
6.563 0.000 0.000
0.000 3.765 0.000
-0.062 0.000 11.249
Zr Ta Si Ru
3 3 6 6
direct
0.000 0.000 0.000 Zr
0.001 0.000 0.582 Zr
0.502 0.000 0.082 Zr
0.139 0.000 0.293 Ta
0.500 0.000 0.498 Ta
0.634 0.000 0.787 Ta
0.210 0.500 0.129 Si
0.214 0.500 0.456 Si
0.223 0.000 0.791 Si
0.704 0.500 0.622 Si
0.707 0.500 0.952 Si
0.724 0.000 0.295 Si
0.334 0.500 0.912 Ru
0.337 0.500 0.666 Ru
0.468 0.500 0.295 Ru
0.835 0.500 0.169 Ru
0.835 0.500 0.414 Ru
0.964 0.500 0.788 Ru
```

Summary:
total magnetization: 0.00 μB/cell
uncorrected energy: -9.09 eV/atom
ΔE_f (raw): -4.731 eV per formula unit



Entry 6:
An optimized crystal structure of AlGaPbAu3, computed with PBE.

POSCAR file:
```
AlGaPbAu3
1.0
3.419 -7.377 0.000
3.419 7.377 0.000
0.000 0.000 5.872
Al Ga Pb Au
2 2 2 6
direct
0.048 0.952 0.750 Al
0.952 0.048 0.250 Al
0.388 0.612 0.750 Ga
0.612 0.388 0.250 Ga
0.310 0.690 0.250 Pb
0.690 0.310 0.750 Pb
0.216 0.784 0.750 Au
0.286 0.286 0.000 Au
0.286 0.286 0.500 Au
0.714 0.714 0.000 Au
0.714 0.714 0.500 Au
0.784 0.216 0.250 Au
```

Summary:
total magnetization: 0.00 μB/cell
uncorrected energy: -3.47 eV/atom
ΔE_f: -88 meV/atom